# GGA-PBE AlTl2AgTe4, relaxed
data_AlTl2AgTe4
_symmetry_space_group_name_H-M 'P 1'
_symmetry_Int_Tables_number 1
_cell_length_a 7.371
_cell_length_b 8.329
_cell_length_c 7.222
_cell_angle_alpha 126.20
_cell_angle_beta 121.81
_cell_angle_gamma 89.48
loop_
_symmetry_equiv_pos_as_xyz
'x,y,z'
loop_
_atom_site_label
_atom_site_fract_x
_atom_site_fract_y
_atom_site_fract_z
_atom_site_occupancy
Tl1 0.324 0.805 0.737 1
Tl2 0.244 0.235 0.499 1
Te1 0.134 0.132 0.846 1
Te2 0.817 0.411 0.185 1
Te3 0.376 0.797 0.188 1
Te4 0.734 0.729 0.824 1
Al1 0.756 0.765 0.492 1
Ag1 0.002 0.514 0.004 1
# * DOS at the Fermi energy: 0.03 states/eV per cell
# * total moment: 0.0 μB per formula unit
# * ρ: 6.41 Mg/m³
# * formation energy without anion corrections: -0.230 eV/atom
# * VASP energy: -25.74 eV per cell